No. 1
Entry from the Alexandria database: an optimized crystal structure of CdFeMo2 (PBE).

It has space group I-4m2 (No. 119), with a = 4.0478 Å, b = 4.0478 Å, c = 7.7202 Å, α = 90.00°, β = 90.00° and γ = 90.00°. Symmetry generates all atoms from Cd at (0.0000, 0.0000, 0.0000), Fe at (0.0000, 0.5000, 0.7500), Mo at (0.0000, 0.0000, 0.5000) and Mo at (0.0000, 0.5000, 0.2500).

Its crystal system is tetragonal. The value obtained for the mass density is 9.5 g cm⁻³. The formation energy comes out at 1.90 eV per formula unit.



No. 2
Entry from the Alexandria database: an optimized crystal structure of Tl2PPbO4 (PBE).

It has space group C2 (No. 5), with a = 12.9534 Å, b = 7.9841 Å, c = 7.6170 Å, α = 90.00°, β = 126.01° and γ = 90.00°. Symmetry generates all atoms from Tl at (0.0013, 0.0000, 0.2612), Tl at (0.2352, 0.2508, 0.7372), P at (0.2467, 0.7128, 0.7468), Pb at (0.0006, 0.5133, 0.2164), O at (0.1600, 0.7155, 0.8275), O at (0.1621, 0.7148, 0.4926), O at (0.1662, 0.3699, 0.1654) and O at (0.1698, 0.0489, 0.1687).

Its crystal system is monoclinic. The value obtained for the mass density is 7.4 g cm⁻³. For the formation energy without anion corrections, the calculation gives -1.469 eV/atom.



No. 3
Entry from the Alexandria database: an optimized crystal structure of SrLaPd3 (PBE).

It has space group Pnnm (No. 58), with a = 7.0336 Å, b = 8.0380 Å, c = 8.3729 Å, α = 90.00°, β = 90.00° and γ = 90.00°. Symmetry generates all atoms from Sr at (0.2168, 0.1323, 0.0000), La at (0.2227, 0.1376, 0.5000), Pd at (0.0000, 0.5000, 0.2340) and Pd at (0.1196, 0.8573, 0.2552).

Its crystal system is orthorhombic. The value obtained for the energy above the lowest structure with this stoichiometry is 0.000 eV/atom. The value obtained for the mass density is 7.7 g cm⁻³. The formation energy comes out at -3.30 eV per formula unit.



No. 4
Entry from the Alexandria database: an optimized crystal structure of AlSb2PdI (PBE).

It has space group P4/mmm (No. 123), with a = 5.2588 Å, b = 5.2588 Å, c = 5.4009 Å, α = 90.00°, β = 90.00° and γ = 90.00°. Symmetry generates all atoms from Al at (0.0000, 0.0000, 0.0000), Sb at (0.0000, 0.5000, 0.0000), Pd at (0.5000, 0.5000, 0.5000) and I at (0.0000, 0.0000, 0.5000).

Its crystal system is tetragonal. The value obtained for the energy above the lowest structure with this stoichiometry is 0.238 eV/atom. The value obtained for the mass density is 5.6 g cm⁻³. For the formation energy without anion corrections, the calculation gives 0.686 eV/atom.



No. 5
Entry from the Alexandria database: an optimized crystal structure of Tb4MgZn2Cd (PBE).

It has space group R-3m (No. 166, hexagonal axes), with a = 5.2033 Å, b = 5.2033 Å, c = 25.5344 Å, α = 90.00°, β = 90.00° and γ = 120.00°. Symmetry generates all atoms from Tb at (0.0000, 0.0000, 0.1242), Tb at (0.0000, 0.0000, 0.3746), Mg at (0.0000, 0.0000, 0.5000), Zn at (0.0000, 0.0000, 0.2451) and Cd at (0.0000, 0.0000, 0.0000).

Its crystal system is trigonal. The value obtained for the mass density is 7.5 g cm⁻³. The formation energy comes out at -1.99 eV per formula unit.



No. 6
Entry from the Alexandria database: an optimized crystal structure of Tb4Y3Ho8 (PBE).

It has space group C2/m (No. 12), with a = 13.3322 Å, b = 12.7903 Å, c = 6.7206 Å, α = 90.00°, β = 120.25° and γ = 90.00°. Symmetry generates all atoms from Tb at (0.0000, 0.0000, 0.0000), Tb at (0.0000, 0.5000, 0.5000), Tb at (0.2500, 0.2500, 0.0000), Y at (0.0000, 0.5000, 0.0000), Y at (0.2500, 0.2500, 0.5000), Ho at (0.0000, 0.1396, 0.5000), Ho at (0.0000, 0.2452, 0.0000), Ho at (0.2316, 0.0000, 0.4925) and Ho at (0.2318, 0.0000, 0.9710).

Its crystal system is monoclinic. The value obtained for the mass density is 7.5 g cm⁻³. The formation energy comes out at 6.01 eV per formula unit.



No. 7
Entry from the Alexandria database: an optimized crystal structure of CaLa2MgP (PBE).

It has space group P4/mmm (No. 123), with a = 5.6973 Å, b = 5.6973 Å, c = 5.4565 Å, α = 90.00°, β = 90.00° and γ = 90.00°. Symmetry generates all atoms from Ca at (0.0000, 0.0000, 0.0000), La at (0.0000, 0.5000, 0.5000), Mg at (0.5000, 0.5000, 0.0000) and P at (0.0000, 0.0000, 0.5000).

Its crystal system is tetragonal. The value obtained for the mass density is 3.5 g cm⁻³. The formation energy comes out at -2.42 eV per formula unit.



No. 8
Entry from the Alexandria database: an optimized crystal structure of Ba6Pd2RhI (PBE).

It has space group R3 (No. 146, hexagonal axes), with a = 8.1146 Å, b = 8.1146 Å, c = 23.1991 Å, α = 90.00°, β = 90.00° and γ = 120.00°. Symmetry generates all atoms from Ba at (0.0098, 0.3391, 0.0000), Ba at (0.0159, 0.6267, 0.8441), Pd at (0.0000, 0.0000, 0.0815), Pd at (0.0000, 0.0000, 0.5896), Rh at (0.0000, 0.0000, 0.2600) and I at (0.0000, 0.0000, 0.7713).

Its crystal system is trigonal. The value obtained for the mass density is 4.8 g cm⁻³. For the formation energy without anion corrections, the calculation gives -0.513 eV/atom.



No. 9
Entry from the Alexandria database: an optimized crystal structure of PmTePt4 (PBE).

It has space group F-43m (No. 216), with a = 7.7505 Å, b = 7.7505 Å, c = 7.7505 Å, α = 90.00°, β = 90.00° and γ = 90.00°. Symmetry generates all atoms from Pm at (0.0000, 0.0000, 0.0000), Te at (0.2500, 0.2500, 0.7500) and Pt at (0.1251, 0.1251, 0.3749).

Its crystal system is cubic. The value obtained for the mass density is 15.0 g cm⁻³. For the formation energy without anion corrections, the calculation gives -0.591 eV/atom.



No. 10
Entry from the Alexandria database: an optimized crystal structure of Pm2ScAg3 (PBE).

It has space group P4/mmm (No. 123), with a = 3.5912 Å, b = 3.5912 Å, c = 11.1239 Å, α = 90.00°, β = 90.00° and γ = 90.00°. Symmetry generates all atoms from Pm at (0.0000, 0.0000, 0.1759), Sc at (0.0000, 0.0000, 0.5000), Ag at (0.5000, 0.5000, 0.0000) and Ag at (0.5000, 0.5000, 0.3590).

Its crystal system is tetragonal. The value obtained for the mass density is 7.6 g cm⁻³. The formation energy comes out at -1.56 eV per formula unit.



No. 11
Entry from the Alexandria database: an optimized crystal structure of Cd2SnO (PBE).

It has space group I-42d (No. 122), with a = 6.4981 Å, b = 6.4981 Å, c = 8.9654 Å, α = 90.00°, β = 90.00° and γ = 90.00°. Symmetry generates all atoms from Cd at (0.1599, 0.2500, 0.1250), Sn at (0.0000, 0.0000, 0.5000) and O at (0.0000, 0.0000, 0.0000).

Its crystal system is tetragonal. The value obtained for the energy above the lowest structure with this stoichiometry is 0.000 eV/atom. The value obtained for the mass density is 6.3 g cm⁻³. For the formation energy without anion corrections, the calculation gives -0.320 eV/atom.



No. 12
Entry from the Alexandria database: an optimized crystal structure of V5GeB2 (PBE).

It has space group I4/mcm (No. 140), with a = 5.8091 Å, b = 5.8091 Å, c = 10.8797 Å, α = 90.00°, β = 90.00° and γ = 90.00°. Symmetry generates all atoms from V at (0.0000, 0.0000, 0.0000), V at (0.1682, 0.3318, 0.1347), Ge at (0.0000, 0.0000, 0.2500) and B at (0.1161, 0.3839, 0.5000).

Its crystal system is tetragonal. The value obtained for the mass density is 6.3 g cm⁻³. The formation energy comes out at -4.90 eV per formula unit.



No. 13
Entry from the Alexandria database: an optimized crystal structure of CdReN2 (PBE).

It has space group R-3m (No. 166, hexagonal axes), with a = 3.1207 Å, b = 3.1207 Å, c = 19.9727 Å, α = 90.00°, β = 90.00° and γ = 120.00°. Symmetry generates all atoms from Cd at (0.0000, 0.0000, 0.0000), Re at (0.0000, 0.0000, 0.5000) and N at (0.0000, 0.0000, 0.4077).

Its crystal system is trigonal. The value obtained for the mass density is 9.7 g cm⁻³. For the formation energy without anion corrections, the calculation gives 0.954 eV/atom.



No. 14
Entry from the Alexandria database: an optimized crystal structure of ScCuW3 (PBE).

It has space group Pm-3m (No. 221), with a = 4.5737 Å, b = 4.5737 Å, c = 4.5737 Å, α = 90.00°, β = 90.00° and γ = 90.00°. Symmetry generates all atoms from Sc at (0.0000, 0.0000, 0.0000), Cu at (0.5000, 0.5000, 0.5000) and W at (0.0000, 0.5000, 0.5000).

Its crystal system is cubic. The value obtained for the energy above the lowest structure with this stoichiometry is 0.000 eV/atom. The value obtained for the mass density is 11.5 g cm⁻³. The formation energy comes out at 7.73 eV per formula unit.